1.
An optimized crystal structure of K2MgCu, computed with PBEsol.

abc: 3.676 3.676 10.091
angles: 90.00 90.00 90.00
Sites, in units of the cell vectors:
K 0.000 0.000 0.000
K 0.500 0.500 0.400
Mg 0.000 0.000 0.676
Cu 0.500 0.500 0.743

The calculation puts the electronic total energy at -0.0671 Ha/atom. The calculation puts the formation energy from the elements at 0.2543 eV per atom. The space-group type is P4mm, No. 99. The density of states at the Fermi level comes out at 0.475 states/eV per atom.


2.
An optimized crystal structure of KMg4Cu, computed with PBEsol.

abc: 5.926 5.926 5.926
angles: 60.00 60.00 60.00
Sites, in units of the cell vectors:
K 0.000 0.000 0.000
Mg 0.130 0.623 0.623
Mg 0.623 0.130 0.623
Mg 0.623 0.623 0.130
Mg 0.623 0.623 0.623
Cu 0.250 0.250 0.250

The calculation puts the electronic total energy at -0.0622 Ha/atom. The calculation puts the formation energy from the elements at 0.3639 eV per atom. The space-group type is F-43m, No. 216. The density of states at the Fermi level comes out at 0.282 states/eV per atom.


3.
An optimized crystal structure of KMg2Cu, computed with PBEsol.

abc: 3.236 5.351 5.499
angles: 90.00 90.00 90.00
Sites, in units of the cell vectors:
K 0.000 0.000 0.000
Mg 0.000 0.500 0.500
Mg 0.500 0.000 0.500
Cu 0.500 0.500 0.000

The calculation puts the electronic total energy at -0.0649 Ha/atom. For the energy above the most stable polymorph in this dataset, the calculation gives 244.3 meV per atom. The calculation puts the formation energy from the elements at 0.4593 eV per atom. The space-group type is Pmmm, No. 47. The density of states at the Fermi level comes out at 0.375 states/eV per atom.


4.
An optimized crystal structure of KMg2V3Cu2O12, computed with PBEsol.

abc: 8.682 8.682 6.976
angles: 105.18 105.18 92.30
Sites, in units of the cell vectors:
K 0.006 0.994 0.750
K 0.994 0.006 0.250
Mg 0.052 0.372 0.620
Mg 0.372 0.052 0.120
Mg 0.628 0.948 0.880
Mg 0.948 0.628 0.380
V 0.112 0.356 0.117
V 0.285 0.715 0.750
V 0.356 0.112 0.617
V 0.644 0.888 0.383
V 0.715 0.285 0.250
V 0.888 0.644 0.883
Cu 0.267 0.733 0.250
Cu 0.495 0.505 0.750
Cu 0.505 0.495 0.250
Cu 0.733 0.267 0.750
O 0.023 0.669 0.126
O 0.027 0.403 0.319
O 0.172 0.755 0.533
O 0.177 0.179 0.609
O 0.179 0.177 0.109
O 0.245 0.828 0.967
O 0.271 0.509 0.731
O 0.279 0.498 0.172
O 0.331 0.977 0.374
O 0.403 0.027 0.819
O 0.491 0.729 0.769
O 0.498 0.279 0.672
O 0.502 0.721 0.328
O 0.509 0.271 0.231
O 0.597 0.973 0.181
O 0.669 0.023 0.626
O 0.721 0.502 0.828
O 0.729 0.491 0.269
O 0.755 0.172 0.033
O 0.821 0.823 0.891
O 0.823 0.821 0.391
O 0.828 0.245 0.467
O 0.973 0.597 0.681
O 0.977 0.331 0.874

The calculation puts the electronic total energy at -0.2695 Ha/atom. The space-group type is C2/c, No. 15. The density of states at the Fermi level comes out at 0.277 states/eV per atom.


5.
An optimized crystal structure of KMg2CuS, computed with PBEsol.

abc: 5.794 5.794 4.847
angles: 90.00 90.00 90.00
Sites, in units of the cell vectors:
K 0.000 0.000 0.000
Mg 0.000 0.500 0.000
Mg 0.500 0.000 0.000
Cu 0.000 0.000 0.500
S 0.500 0.500 0.500

The calculation puts the electronic total energy at -0.0463 Ha/atom. The space-group type is P4/mmm, No. 123. The density of states at the Fermi level comes out at 1.081 states/eV per atom.


6.
An optimized crystal structure of K3MnCu, computed with PBEsol.

abc: 6.093 6.093 6.093
angles: 90.00 90.00 90.00
Sites, in units of the cell vectors:
K 0.000 0.000 0.500
K 0.000 0.500 0.000
K 0.500 0.000 0.000
Mn 0.500 0.500 0.500
Cu 0.000 0.000 0.000

The calculation puts the electronic total energy at -0.0933 Ha/atom. The calculation puts the formation energy from the elements at 0.9597 eV per atom. The space-group type is Pm-3m, No. 221. The density of states at the Fermi level comes out at 1.468 states/eV per atom.